# 1
Computed, not measured: KSb2Cl after structural relaxation at the PBE level of DFT.

For the electronic total energy, the calculation gives -12.47 eV per formula unit. Its symmetry is Cmmm. Its total magnetization is 0.0 μB/f.u. As for the density of states at the Fermi level: 5.33 states/eV per cell. For the formation energy (no corrections), the calculation gives -320 meV per atom.

a b c (Å): 5.7491 14.7863 3.2630
angles (deg): 90.00 90.00 90.00
Closest atoms and distances in Å follow each position.
Fractional positions:
K (0.0000, 0.0000, 0.0000)  2 Cl 2.87
K (0.5000, 0.5000, 0.0000)  2 Cl 2.87
Sb (0.2500, 0.2500, 0.5000)  2 Sb 2.87
Sb (0.2500, 0.7500, 0.5000)  2 Sb 2.87
Sb (0.7500, 0.2500, 0.5000)  2 Sb 2.87
Sb (0.7500, 0.7500, 0.5000)  2 Sb 2.87
Cl (0.0000, 0.5000, 0.0000)  2 K 2.87
Cl (0.5000, 0.0000, 0.0000)  2 K 2.87



# 2
Computed, not measured: K2Sb2Cl after structural relaxation at the PBE level of DFT.

For the electronic total energy, the calculation gives -14.39 eV per formula unit. Its symmetry is I4/mmm. Its total magnetization is 0.0 μB/f.u. As for the density of states at the Fermi level: 9.07 states/eV per cell. For the formation energy (no corrections), the calculation gives -421 meV per atom.

a b c (Å): 6.7483 6.7483 9.7614
angles (deg): 90.00 90.00 90.00
Closest atoms and distances in Å follow each position.
Fractional positions:
K (0.0000, 0.5000, 0.2500)  4 Sb 3.56
K (0.0000, 0.5000, 0.7500)  4 Sb 3.56
K (0.5000, 0.0000, 0.2500)  4 Sb 3.56
K (0.5000, 0.0000, 0.7500)  4 Sb 3.56
Sb (0.0000, 0.0000, 0.1334)  1 Sb 2.60
Sb (0.0000, 0.0000, 0.8666)  1 Sb 2.60
Sb (0.5000, 0.5000, 0.3666)  1 Sb 2.60
Sb (0.5000, 0.5000, 0.6334)  1 Sb 2.60
Cl (0.0000, 0.0000, 0.5000)  2 Sb 3.58
Cl (0.5000, 0.5000, 0.0000)  2 Sb 3.58



# 3
Computed, not measured: K3SbCl8 after structural relaxation at the PBE level of DFT.

For the electronic total energy, the calculation gives -37.45 eV per formula unit. Its symmetry is C222. Its total magnetization is 0.0 μB/f.u. As for the density of states at the Fermi level: 3.21 states/eV per cell. For the formation energy (no corrections), the calculation gives -1272 meV per atom.

a b c (Å): 7.9272 7.9272 9.1586
angles (deg): 90.00 90.00 113.07
Closest atoms and distances in Å follow each position.
Fractional positions:
K (0.0000, 0.0000, 0.0000)  2 Cl 2.96
K (0.0000, 0.5000, 0.7868)  2 Cl 2.95
K (0.5000, 0.0000, 0.2132)  2 Cl 2.95
Sb (0.0000, 0.0000, 0.5000)  6 Cl 2.41-2.42
Cl (0.1821, 0.8179, 0.5000)  1 Sb 2.41
Cl (0.1963, 0.1982, 0.6848)  1 Sb 2.42
Cl (0.1982, 0.1963, 0.3152)  1 Sb 2.42
Cl (0.2238, 0.7762, 0.0000)  3 K 2.95-2.96
Cl (0.7762, 0.2238, 0.0000)  3 K 2.95-2.96
Cl (0.8018, 0.8037, 0.3152)  1 Sb 2.42
Cl (0.8037, 0.8018, 0.6848)  1 Sb 2.42
Cl (0.8179, 0.1821, 0.5000)  1 Sb 2.41



# 4
Computed, not measured: K2SbCl after structural relaxation at the PBE level of DFT.

For the electronic total energy, the calculation gives -11.06 eV per formula unit. Its symmetry is I-42d. Its total magnetization is 2.0 μB/f.u. As for the density of states at the Fermi level: 1.53 states/eV per cell. For the formation energy (no corrections), the calculation gives -724 meV per atom.

a b c (Å): 8.8088 8.8088 9.0410
angles (deg): 90.00 90.00 90.00
Closest atoms and distances in Å follow each position.
Fractional positions:
K (0.1962, 0.2500, 0.1250)  2 Cl 3.02
K (0.2500, 0.6962, 0.3750)  2 Cl 3.02
K (0.2500, 0.8038, 0.8750)  2 Cl 3.02
K (0.3038, 0.2500, 0.6250)  2 Cl 3.02
K (0.6962, 0.7500, 0.6250)  2 Cl 3.02
K (0.7500, 0.1962, 0.8750)  2 Cl 3.02
K (0.7500, 0.3038, 0.3750)  2 Cl 3.02
K (0.8038, 0.7500, 0.1250)  2 Cl 3.02
Sb (0.0000, 0.0000, 0.5000)  4 K 3.65
Sb (0.0000, 0.5000, 0.7500)  4 K 3.65
Sb (0.5000, 0.0000, 0.2500)  4 K 3.65
Sb (0.5000, 0.5000, 0.0000)  4 K 3.65
Cl (0.0000, 0.0000, 0.0000)  4 K 3.02
Cl (0.0000, 0.5000, 0.2500)  4 K 3.02
Cl (0.5000, 0.0000, 0.7500)  4 K 3.02
Cl (0.5000, 0.5000, 0.5000)  4 K 3.02